PmDy2PaSb4 | PBE | optimized geometry Values from VASP.

Calculated values
Total energy ... -5.96 eV/atom
Crystal system ... monoclinic

Structure (Quantum ESPRESSO input):
```
&SYSTEM
  ibrav = 0, nat = 8, ntyp = 4
/
ATOMIC_SPECIES
Pm 145.00 Pm.upf
Dy 162.50 Dy.upf
Pa 231.04 Pa.upf
Sb 121.76 Sb.upf
CELL_PARAMETERS angstrom
7.6142 0.0000 0.0000
0.0000 4.4034 0.0000
-2.5327 0.0000 7.2104
ATOMIC_POSITIONS angstrom
Pm 0.0000 0.0000 0.0000
Dy 2.5408 0.0000 3.6052
Dy 3.8071 2.2017 0.0000
Pa -1.2663 2.2017 3.6052
Sb 0.0286 0.0000 5.3903
Sb 1.2840 2.2017 1.8455
Sb 3.7975 2.2017 5.3649
Sb 5.0529 0.0000 1.8201
```


Y2MgNbH | PBE | optimized geometry Values from VASP.

Calculated values
Total energy ... -5.58 eV/atom
Crystal system ... tetragonal

Structure (Quantum ESPRESSO input):
```
&SYSTEM
  ibrav = 0, nat = 5, ntyp = 4
/
ATOMIC_SPECIES
Y 88.91 Y.upf
Mg 24.30 Mg.upf
Nb 92.91 Nb.upf
H 1.01 H.upf
CELL_PARAMETERS angstrom
5.0076 0.0000 0.0000
0.0000 5.0076 0.0000
0.0000 0.0000 4.0776
ATOMIC_POSITIONS angstrom
Y 0.0000 2.5038 0.0000
Y 2.5038 0.0000 0.0000
Mg 0.0000 0.0000 2.0388
Nb 2.5038 2.5038 2.0388
H 2.5038 2.5038 0.0000
```


YReRh2 | PBE | optimized geometry Values from VASP.

Calculated values
Crystal system ... orthorhombic
E_form ... -0.13 eV per atom

Structure (Quantum ESPRESSO input):
```
&SYSTEM
  ibrav = 0, nat = 4, ntyp = 3
/
ATOMIC_SPECIES
Y 88.91 Y.upf
Re 186.21 Re.upf
Rh 102.91 Rh.upf
CELL_PARAMETERS angstrom
2.8946 0.0000 0.0000
0.0000 3.8310 0.0000
0.0000 0.0000 6.1682
ATOMIC_POSITIONS angstrom
Y 0.0000 0.0000 0.0000
Re 0.0000 0.0000 3.0841
Rh 1.4473 1.9155 1.7671
Rh 1.4473 1.9155 4.4011
```


LaZnRh4 | PBE | optimized geometry Values from VASP.

Calculated values
Crystal system ... orthorhombic
E_form ... -0.28 eV per atom

Structure (Quantum ESPRESSO input):
```
&SYSTEM
  ibrav = 0, nat = 12, ntyp = 3
/
ATOMIC_SPECIES
La 138.91 La.upf
Zn 65.41 Zn.upf
Rh 102.91 Rh.upf
CELL_PARAMETERS angstrom
2.0252 -8.2032 0.0000
2.0252 8.2032 0.0000
0.0000 0.0000 6.2498
ATOMIC_POSITIONS angstrom
La 2.0252 6.5085 4.6874
La 2.0252 -6.5085 1.5625
Zn 2.0252 4.4462 1.5625
Zn 2.0252 -4.4462 4.6874
Rh 2.0252 6.9671 1.5625
Rh 2.0252 2.7544 3.3965
Rh 2.0252 2.7544 5.9782
Rh 2.0252 0.0000 0.0000
Rh 2.0252 0.0000 3.1249
Rh 2.0252 -2.7544 0.2716
Rh 2.0252 -2.7544 2.8533
Rh 2.0252 -6.9671 4.6874
```


ZrNbW2 | PBE | optimized geometry Values from VASP.

Calculated values
Crystal system ... tetragonal
E_form ... 0.82 eV per atom

Structure (Quantum ESPRESSO input):
```
&SYSTEM
  ibrav = 0, nat = 8, ntyp = 3
/
ATOMIC_SPECIES
Zr 91.22 Zr.upf
Nb 92.91 Nb.upf
W 183.84 W.upf
CELL_PARAMETERS angstrom
-3.7255 3.7255 2.7918
3.7255 -3.7255 2.7918
3.7255 3.7255 -2.7918
ATOMIC_POSITIONS angstrom
Zr 0.0000 0.0000 0.0000
Zr 0.0000 3.7255 1.3959
Nb 3.7255 0.0000 1.3959
Nb 0.0000 0.0000 2.7918
W 1.8627 1.9884 -0.6980
W 5.4626 1.8627 0.6980
W 1.8627 1.7371 2.0939
W -1.7371 1.8627 3.4898
```


Na2In3Au2 | PBE | optimized geometry Values from VASP.

Calculated values
Crystal system ... monoclinic
E_form ... -0.28 eV per atom

Structure (Quantum ESPRESSO input):
```
&SYSTEM
  ibrav = 0, nat = 7, ntyp = 3
/
ATOMIC_SPECIES
Na 22.99 Na.upf
In 114.82 In.upf
Au 196.97 Au.upf
CELL_PARAMETERS angstrom
5.4105 -2.3278 0.0000
5.4105 2.3278 0.0000
-2.9432 0.0000 6.7512
ATOMIC_POSITIONS angstrom
Na 0.8404 0.0000 2.0102
Na 7.0374 0.0000 4.7410
In 3.9003 0.0000 0.2856
In 3.9389 0.0000 3.3756
In 3.9775 0.0000 6.4657
Au -0.7318 0.0000 4.8043
Au 8.6097 0.0000 1.9470
```


CaNiCl4 | PBE | optimized geometry Values from VASP.

Calculated values
Total energy ... -3.90 eV/atom
Crystal system ... tetragonal

Structure (Quantum ESPRESSO input):
```
&SYSTEM
  ibrav = 0, nat = 6, ntyp = 3
/
ATOMIC_SPECIES
Ca 40.08 Ca.upf
Ni 58.69 Ni.upf
Cl 35.45 Cl.upf
CELL_PARAMETERS angstrom
-3.2993 3.2993 3.5201
3.2993 -3.2993 3.5201
3.2993 3.2993 -3.5201
ATOMIC_POSITIONS angstrom
Ca 0.0000 0.0000 0.0000
Ni 3.2993 0.0000 1.7601
Cl 4.8317 -1.5500 1.7546
Cl 1.7492 -1.5324 1.7656
Cl 4.8493 1.5324 1.7656
Cl 1.7669 1.5500 1.7546
```


Bi5Rh | PBE | optimized geometry Values from VASP.

Calculated values
Crystal system ... orthorhombic
E_form ... 0.07 eV per atom

Structure (Quantum ESPRESSO input):
```
&SYSTEM
  ibrav = 0, nat = 6, ntyp = 2
/
ATOMIC_SPECIES
Bi 208.98 Bi.upf
Rh 102.91 Rh.upf
CELL_PARAMETERS angstrom
1.7612 -10.2929 0.0000
1.7612 10.2929 0.0000
0.0000 0.0000 5.0539
ATOMIC_POSITIONS angstrom
Bi 0.0000 0.0000 0.0000
Bi 1.7612 8.0499 2.5269
Bi 1.7612 3.7997 0.0000
Bi 1.7612 -3.7997 0.0000
Bi 1.7612 -8.0499 2.5269
Rh 1.7612 0.0000 2.5269
```


Sr3LaPb | PBE | optimized geometry Values from VASP.

Calculated values
Crystal system ... cubic
E_form ... 0.13 eV per atom

Structure (Quantum ESPRESSO input):
```
&SYSTEM
  ibrav = 0, nat = 5, ntyp = 3
/
ATOMIC_SPECIES
Sr 87.62 Sr.upf
La 138.91 La.upf
Pb 207.20 Pb.upf
CELL_PARAMETERS angstrom
6.3738 0.0000 0.0000
0.0000 6.3738 0.0000
0.0000 0.0000 6.3738
ATOMIC_POSITIONS angstrom
Sr 0.0000 0.0000 3.1869
Sr 0.0000 3.1869 0.0000
Sr 3.1869 0.0000 0.0000
La 3.1869 3.1869 3.1869
Pb 0.0000 0.0000 0.0000
```


SrTlClO2 | PBE | optimized geometry Values from VASP.

Calculated values
Total energy ... -4.81 eV/atom
Crystal system ... monoclinic

Structure (Quantum ESPRESSO input):
```
&SYSTEM
  ibrav = 0, nat = 10, ntyp = 4
/
ATOMIC_SPECIES
Sr 87.62 Sr.upf
Tl 204.38 Tl.upf
Cl 35.45 Cl.upf
O 16.00 O.upf
CELL_PARAMETERS angstrom
6.7524 0.0000 0.0000
0.0000 4.3593 0.0000
-0.9711 0.0000 8.2869
ATOMIC_POSITIONS angstrom
Sr 1.3671 1.0898 0.9604
Sr 4.4142 3.2695 7.3264
Tl -0.2248 1.0898 5.3720
Tl 6.0061 3.2695 2.9149
Cl 2.2882 1.0898 6.6995
Cl 3.4931 3.2695 1.5874
O 0.0983 3.2695 1.0399
O 0.2214 1.0898 3.3262
O 5.5599 3.2695 4.9607
O 5.6830 1.0898 7.2470
```


Y12Ho5Tm | PBE | optimized geometry Values from VASP.

Calculated values
Crystal system ... orthorhombic
E_form ... 0.03 eV per atom

Structure (Quantum ESPRESSO input):
```
&SYSTEM
  ibrav = 0, nat = 18, ntyp = 3
/
ATOMIC_SPECIES
Y 88.91 Y.upf
Ho 164.93 Ho.upf
Tm 168.93 Tm.upf
CELL_PARAMETERS angstrom
7.5334 -7.5502 0.0000
7.5334 7.5502 0.0000
0.0000 0.0000 5.0216
ATOMIC_POSITIONS angstrom
Y 5.0426 5.0361 2.5108
Y 2.4886 0.0000 0.0000
Y 5.0370 2.5169 0.0000
Y 10.0243 5.0361 2.5108
Y 5.0365 0.0000 2.5108
Y 10.0298 2.5169 0.0000
Y 5.0370 -2.5169 0.0000
Y 10.0303 0.0000 2.5108
Y 5.0426 -5.0361 2.5108
Y 10.0298 -2.5169 0.0000
Y 12.5783 0.0000 0.0000
Y 10.0243 -5.0361 2.5108
Ho 7.5334 5.0362 0.0000
Ho 7.5334 2.5154 2.5108
Ho 7.5334 0.0000 0.0000
Ho 7.5334 -2.5154 2.5108
Ho 7.5334 -5.0362 0.0000
Tm 0.0000 0.0000 2.5108
```


LuCu2Ni | PBE | optimized geometry Values from VASP.

Calculated values
Crystal system ... cubic
E_form ... -0.14 eV per atom

Structure (Quantum ESPRESSO input):
```
&SYSTEM
  ibrav = 0, nat = 4, ntyp = 3
/
ATOMIC_SPECIES
Lu 174.97 Lu.upf
Cu 63.55 Cu.upf
Ni 58.69 Ni.upf
CELL_PARAMETERS angstrom
0.0000 3.1120 3.1120
3.1120 0.0000 3.1120
3.1120 3.1120 0.0000
ATOMIC_POSITIONS angstrom
Lu 0.0000 0.0000 0.0000
Cu 1.5560 1.5560 1.5560
Cu 4.6680 4.6680 4.6680
Ni 3.1120 3.1120 3.1120
```